Entry 1:
Computed, not measured: a relaxed structure of BaCd4Ga at the PBE-GGA level of DFT.

Theoretical density ... 6.599 g/cm³
Calculated formation energy ... -0.1334 eV per atom
Energy above the lowest structure with this stoichiometry ... 78 meV per atom

abc: 6.160 6.160 6.160
angles: 60.00 60.00 60.00
Sites, in units of the cell vectors:
Ba1 0.000 0.000 0.000
Cd1 0.376 0.376 0.376
Cd2 0.376 0.376 0.873
Cd3 0.376 0.873 0.376
Cd4 0.873 0.376 0.376
Ga1 0.750 0.750 0.750

=====

Entry 2:
Computed, not measured: a relaxed structure of BC4 at the PBE-GGA level of DFT.

Theoretical density ... 3.212 g/cm³
Calculated formation energy ... 0.2526 eV per atom
Energy above the lowest structure with this stoichiometry ... 28 meV per atom

abc: 10.839 10.839 10.839
angles: 13.55 13.55 13.55
Sites, in units of the cell vectors:
B1 0.122 0.122 0.122
B2 0.878 0.878 0.878
C1 0.072 0.072 0.072
C2 0.277 0.277 0.277
C3 0.325 0.325 0.325
C4 0.478 0.478 0.478
C5 0.522 0.522 0.522
C6 0.675 0.675 0.675
C7 0.723 0.723 0.723
C8 0.928 0.928 0.928

=====

Entry 3:
Computed, not measured: a relaxed structure of Cd6Hg10Sb at the PBE-GGA level of DFT.

Theoretical density ... 10.654 g/cm³
Electronic total energy ... -11.7 eV for the cell shown

abc: 9.474 9.474 5.619
angles: 90.00 90.00 120.00
Sites, in units of the cell vectors:
Cd1 0.000 0.397 0.284
Cd2 0.000 0.603 0.716
Cd3 0.397 0.000 0.284
Cd4 0.397 0.397 0.716
Cd5 0.603 0.000 0.716
Cd6 0.603 0.603 0.284
Hg1 0.000 0.263 0.806
Hg2 0.000 0.737 0.194
Hg3 0.263 0.000 0.806
Hg4 0.263 0.263 0.194
Hg5 0.333 0.667 0.000
Hg6 0.333 0.667 0.500
Hg7 0.667 0.333 0.000
Hg8 0.667 0.333 0.500
Hg9 0.737 0.000 0.194
Hg10 0.737 0.737 0.806
Sb1 0.000 0.000 0.500